# LiCa9CoP7O28 GGA+U optimized geometry
# - Electronic total energy: -1969.47 eV/cell
# - DOS(E_F): 41.0 states/eV per cell
# - Crystal system: trigonal
data_LiCa9CoP7O28
_space_group_name_H-M_alt 'R 3 c'
_space_group_IT_number 161
_space_group_name_Hall 'R 3 -2"c'
_cell_length_a 10.3942
_cell_length_b 10.3942
_cell_length_c 37.5087
_cell_angle_alpha 90.00
_cell_angle_beta 90.00
_cell_angle_gamma 120.00
loop_
_atom_site_label
_atom_site_fract_x
_atom_site_fract_y
_atom_site_fract_z
Li1 0.0000 0.0000 0.0000
Ca1 0.0449 0.5091 0.2832
Ca2 0.1899 0.3985 0.0217
Ca3 0.1906 0.3943 0.9134
Co1 0.0000 0.0000 0.1783
P1 0.0000 0.0000 0.4149
P2 0.0119 0.4868 0.4821
P3 0.1628 0.3602 0.7122
O1 0.0000 0.0000 0.3736
O2 0.0009 0.1421 0.9283
O3 0.0029 0.2785 0.0681
O4 0.0281 0.2419 0.2963
O5 0.0458 0.5152 0.5224
O6 0.0631 0.3771 0.4697
O7 0.0887 0.1853 0.7128
O8 0.1029 0.4231 0.2279
O9 0.1711 0.4280 0.6745
O10 0.1751 0.0805 0.1412